(1)
Computed, not measured: a relaxed structure of LaB3Au at the GGA-PBE level of DFT.

POSCAR file:
```
LaB3Au
1.0
4.756 0.000 0.000
0.000 4.756 0.000
0.000 0.000 4.756
La B Au
1 3 1
Direct
0.000 0.000 0.000
0.000 0.000 0.500
0.000 0.500 0.000
0.500 0.000 0.000
0.500 0.500 0.500
```

E above lowest polymorph ... 1408 meV per atom
Calculated formation energy ... 2461 meV per atom
Space group ... Pm-3m

---

(2)
Computed, not measured: a relaxed structure of SmTm2Ag3 at the GGA-PBE level of DFT.

POSCAR file:
```
SmTm2Ag3
1.0
3.599 0.000 0.000
0.000 3.599 0.000
0.000 0.000 11.050
Sm Tm Ag
1 2 3
Direct
0.000 0.000 0.000
0.000 0.000 0.338
0.000 0.000 0.662
0.500 0.500 0.180
0.500 0.500 0.500
0.500 0.500 0.820
```

Calculated formation energy ... -322 meV per atom
Space group ... P4/mmm

---

> Among the records above, which one has the lowest calculated formation energy?

SmTm2Ag3

---

> Among the records above, which one has the highest calculated formation energy?

LaB3Au